Arrangement i

The following is a PBE calculation of a relaxed structure of Ti3CoGe, from the Alexandria database.

Lattice parameters (Å, degrees): 4.6550 4.6550 4.6550 90.00 90.00 90.00
Closest atoms and distances in Å follow each position.
Positions (direct):
Ti 0.0000 0.0000 0.5000  2 Ge 2.33
Ti 0.0000 0.5000 0.0000  2 Ge 2.33
Ti 0.5000 0.0000 0.0000  2 Ge 2.33
Co 0.5000 0.5000 0.5000  12 Ti 3.29
Ge 0.0000 0.0000 0.0000  6 Ti 2.33

- space-group type = No. 221
- Fermi-level density of states (states/eV per atom) = 1.4219
- crystal system = cubic

***

Arrangement ii

The following is a PBE calculation of a relaxed structure of Ti3CoGe, from the Alexandria database.

Lattice parameters (Å, degrees): 4.4557 4.4557 4.4557 90.00 90.00 90.00
Closest atoms and distances in Å follow each position.
Positions (direct):
Ti 0.0000 0.0000 0.5000  2 Co 2.23
Ti 0.0000 0.5000 0.0000  2 Co 2.23
Ti 0.5000 0.0000 0.0000  2 Co 2.23
Co 0.0000 0.0000 0.0000  6 Ti 2.23
Ge 0.5000 0.5000 0.5000  12 Ti 3.15

- space-group type = No. 221
- Fermi-level density of states (states/eV per atom) = 1.3122
- crystal system = cubic

***

Energies relative to the minimum, meV/atom: arrangement i 695; arrangement ii 0

***

Arrangement i

The following is a PBE calculation of a relaxed structure of TlCoGe2, from the Alexandria database.

Lattice parameters (Å, degrees): 7.7600 7.7600 7.7600 136.68 136.68 62.93
Closest atoms and distances in Å follow each position.
Positions (direct):
Tl 0.0000 0.0000 0.0000  8 Ge 3.56-3.65
Tl 0.7500 0.2500 0.5000  8 Ge 3.56-3.65
Co 0.2500 0.7500 0.5000  4 Ge 2.19
Co 0.5000 0.5000 0.0000  4 Ge 2.19
Ge 0.3647 0.6250 0.2397  2 Co 2.19
Ge 0.3750 0.6147 0.7397  2 Co 2.19
Ge 0.3853 0.1250 0.7603  2 Co 2.19
Ge 0.8750 0.6353 0.2603  2 Co 2.19

- space-group type = No. 122
- Fermi-level density of states (states/eV per atom) = 0.2638
- crystal system = tetragonal

***

Arrangement ii

The following is a PBE calculation of a relaxed structure of TlCoGe2, from the Alexandria database.

Lattice parameters (Å, degrees): 4.7251 4.7251 4.7251 60.00 60.00 60.00
Closest atoms and distances in Å follow each position.
Positions (direct):
Tl 0.0000 0.0000 0.0000  8 Ge 2.89
Co 0.5000 0.5000 0.5000  8 Ge 2.89
Ge 0.2500 0.2500 0.2500  4 Tl 2.89, 4 Co 2.89
Ge 0.7500 0.7500 0.7500  4 Tl 2.89, 4 Co 2.89

- space-group type = No. 225
- Fermi-level density of states (states/eV per atom) = 0.5700
- crystal system = cubic

***

Energies relative to the minimum, meV/atom: arrangement i 0; arrangement ii 349

***

Arrangement i

The following is a PBE calculation of a relaxed structure of TlCo2Ge, from the Alexandria database.

Lattice parameters (Å, degrees): 5.5480 5.5480 5.5480 105.44 105.44 117.88
Closest atoms and distances in Å follow each position.
Positions (direct):
Tl 0.0000 0.0000 0.0000  4 Co 2.71, 2 Ge 2.86
Tl 0.7500 0.2500 0.5000  4 Co 2.71, 2 Ge 2.86
Co 0.1729 0.6250 0.0479  2 Ge 2.28
Co 0.3750 0.4229 0.5479  2 Ge 2.28
Co 0.5771 0.1250 0.9521  2 Ge 2.28
Co 0.8750 0.8271 0.4521  2 Ge 2.28
Ge 0.2500 0.7500 0.5000  4 Co 2.28
Ge 0.5000 0.5000 0.0000  4 Co 2.28

- space-group type = No. 122
- Fermi-level density of states (states/eV per atom) = 0.7670
- crystal system = tetragonal

***

Arrangement ii

The following is a PBE calculation of a relaxed structure of TlCo2Ge, from the Alexandria database.

Lattice parameters (Å, degrees): 4.3607 4.3607 4.3607 60.00 60.00 60.00
Closest atoms and distances in Å follow each position.
Positions (direct):
Tl 0.0000 0.0000 0.0000  8 Co 2.67
Co 0.2500 0.2500 0.2500  4 Ge 2.67, 4 Tl 2.67
Co 0.7500 0.7500 0.7500  4 Ge 2.67, 4 Tl 2.67
Ge 0.5000 0.5000 0.5000  8 Co 2.67

- space-group type = No. 225
- Fermi-level density of states (states/eV per atom) = 0.5268
- crystal system = cubic

***

Energies relative to the minimum, meV/atom: arrangement i 124; arrangement ii 0

***

Arrangement i

The following is a PBE calculation of a relaxed structure of Tm2Co3Ge5, from the Alexandria database.

Lattice parameters (Å, degrees): 12.1546 12.1546 6.5789 90.00 90.00 160.84
Closest atoms and distances in Å follow each position.
Positions (direct):
Tm 0.0231 0.9769 0.5000  3 Co 2.69-2.84, 4 Ge 2.88-2.98
Tm 0.3259 0.6741 0.5189  8 Ge 2.87-3.15, 3 Co 3.05-3.19
Tm 0.6741 0.3259 0.0189  8 Ge 2.87-3.15, 3 Co 3.05-3.19
Tm 0.9769 0.0231 0.0000  3 Co 2.69-2.84, 4 Ge 2.88-2.98
Co 0.1077 0.8923 0.7691  6 Ge 2.39-2.65
Co 0.2793 0.7207 0.0087  7 Ge 2.43-2.59
Co 0.4472 0.5528 0.7175  5 Ge 2.33-2.56
Co 0.5528 0.4472 0.2175  5 Ge 2.33-2.56
Co 0.7207 0.2793 0.5087  7 Ge 2.43-2.59
Co 0.8923 0.1077 0.2691  6 Ge 2.39-2.65
Ge 0.0954 0.9046 0.1345  3 Co 2.33-2.42
Ge 0.2065 0.7935 0.7185  4 Co 2.39-2.59
Ge 0.2114 0.7886 0.3004  3 Co 2.45-2.52
Ge 0.3806 0.6194 0.0135  4 Co 2.43-2.65, 1 Ge 2.70
Ge 0.4509 0.5491 0.3337  4 Co 2.50-2.56, 1 Ge 2.70
Ge 0.5491 0.4509 0.8337  4 Co 2.50-2.56, 1 Ge 2.70
Ge 0.6194 0.3806 0.5135  4 Co 2.43-2.65, 1 Ge 2.70
Ge 0.7886 0.2114 0.8004  3 Co 2.45-2.52
Ge 0.7935 0.2065 0.2185  4 Co 2.39-2.59
Ge 0.9046 0.0954 0.6345  3 Co 2.33-2.42

- space-group type = No. 36
- Fermi-level density of states (states/eV per atom) = 0.5917
- crystal system = orthorhombic

***

Arrangement ii

The following is a PBE calculation of a relaxed structure of Tm2Co3Ge5, from the Alexandria database.

Lattice parameters (Å, degrees): 8.0852 8.0852 8.0852 106.70 87.85 138.60
Closest atoms and distances in Å follow each position.
Positions (direct):
Tm 0.1405 0.2312 0.3717  10 Ge 2.86-3.19, 3 Co 3.00-3.11
Tm 0.3595 0.7312 0.0907  10 Ge 2.86-3.19, 3 Co 3.00-3.11
Tm 0.6405 0.2688 0.9093  10 Ge 2.86-3.19, 3 Co 3.00-3.11
Tm 0.8595 0.7688 0.6283  10 Ge 2.86-3.19, 3 Co 3.00-3.11
Co 0.1416 0.8968 0.0383  5 Ge 2.28-2.40
Co 0.2500 0.7500 0.5000  6 Ge 2.41-2.58
Co 0.3584 0.3968 0.7552  5 Ge 2.28-2.40
Co 0.6416 0.6032 0.2448  5 Ge 2.28-2.40
Co 0.7500 0.2500 0.5000  6 Ge 2.41-2.58
Co 0.8584 0.1032 0.9617  5 Ge 2.28-2.40
Ge 0.0286 0.7500 0.2786  3 Co 2.36-2.58, 2 Ge 2.65
Ge 0.0908 0.6686 0.7594  3 Co 2.28-2.41
Ge 0.2500 0.2500 0.0000  4 Co 2.40
Ge 0.4092 0.1686 0.5778  3 Co 2.28-2.41
Ge 0.4714 0.7500 0.7214  3 Co 2.36-2.58, 2 Ge 2.65
Ge 0.5286 0.2500 0.2786  3 Co 2.36-2.58, 2 Ge 2.65
Ge 0.5908 0.8314 0.4222  3 Co 2.28-2.41
Ge 0.7500 0.7500 0.0000  4 Co 2.40
Ge 0.9092 0.3314 0.2406  3 Co 2.28-2.41
Ge 0.9714 0.2500 0.7214  3 Co 2.36-2.58, 2 Ge 2.65

- space-group type = No. 72
- Fermi-level density of states (states/eV per atom) = 0.6328
- crystal system = orthorhombic

***

Energies relative to the minimum, meV/atom: arrangement i 50; arrangement ii 0

***

Arrangement i

The following is a PBE calculation of a relaxed structure of TmCo2Ge3, from the Alexandria database.

Lattice parameters (Å, degrees): 8.0615 8.0615 9.5451 103.55 103.55 27.97
Closest atoms and distances in Å follow each position.
Positions (direct):
Tm 0.0000 0.0000 0.0000  6 Co 2.99-3.14, 10 Ge 3.12-3.25
Tm 0.1484 0.1484 0.6957  6 Ge 2.90-3.24, 4 Co 3.13-3.17
Tm 0.8516 0.8516 0.3043  6 Ge 2.90-3.24, 4 Co 3.13-3.17
Co 0.2071 0.2071 0.0828  5 Ge 2.35-2.55
Co 0.3568 0.3568 0.5625  7 Ge 2.35-2.52, 1 Co 2.62
Co 0.4959 0.4959 0.2362  5 Ge 2.30-2.50
Co 0.5041 0.5041 0.7638  5 Ge 2.30-2.50
Co 0.6432 0.6432 0.4375  7 Ge 2.35-2.52, 1 Co 2.62
Co 0.7929 0.7929 0.9172  5 Ge 2.35-2.55
Ge 0.0525 0.0525 0.3510  4 Co 2.30-2.43
Ge 0.2288 0.2288 0.3741  3 Co 2.35-2.52
Ge 0.3569 0.3569 0.0811  4 Co 2.32-2.55, 1 Ge 2.52
Ge 0.3603 0.3603 0.8186  4 Co 2.43-2.50, 1 Ge 2.52
Ge 0.5000 0.5000 0.5000  4 Co 2.45-2.50, 4 Ge 2.66
Ge 0.6397 0.6397 0.1814  4 Co 2.43-2.50, 1 Ge 2.52
Ge 0.6431 0.6431 0.9189  4 Co 2.32-2.55, 1 Ge 2.52
Ge 0.7712 0.7712 0.6259  3 Co 2.35-2.52
Ge 0.9475 0.9475 0.6490  4 Co 2.30-2.43

- space-group type = No. 12
- Fermi-level density of states (states/eV per atom) = 0.4253
- crystal system = monoclinic

***

Arrangement ii

The following is a PBE calculation of a relaxed structure of TmCo2Ge3, from the Alexandria database.

Lattice parameters (Å, degrees): 5.9679 5.9679 5.3575 90.00 90.00 78.77
Closest atoms and distances in Å follow each position.
Positions (direct):
Tm 0.1489 0.8511 0.7500  7 Ge 2.83-3.13, 4 Co 3.17
Tm 0.8511 0.1489 0.2500  7 Ge 2.83-3.13, 4 Co 3.17
Co 0.2862 0.2862 0.0000  6 Ge 2.35-2.61
Co 0.2862 0.2862 0.5000  6 Ge 2.35-2.61
Co 0.7138 0.7138 0.0000  6 Ge 2.35-2.61
Co 0.7138 0.7138 0.5000  6 Ge 2.35-2.61
Ge 0.0415 0.6213 0.2500  4 Co 2.35-2.61, 1 Ge 2.55
Ge 0.3787 0.9585 0.2500  4 Co 2.35-2.61, 1 Ge 2.55
Ge 0.4773 0.5227 0.2500  4 Co 2.39, 2 Ge 2.55
Ge 0.5227 0.4773 0.7500  4 Co 2.39, 2 Ge 2.55
Ge 0.6213 0.0415 0.7500  4 Co 2.35-2.61, 1 Ge 2.55
Ge 0.9585 0.3787 0.7500  4 Co 2.35-2.61, 1 Ge 2.55

- space-group type = No. 63
- Fermi-level density of states (states/eV per atom) = 0.5554
- crystal system = orthorhombic

***

Energies relative to the minimum, meV/atom: arrangement i 0; arrangement ii 81

***

Arrangement i

The following is a PBE calculation of a relaxed structure of TmCo4Ge, from the Alexandria database.

Lattice parameters (Å, degrees): 7.1024 3.6056 6.6240 90.00 90.00 90.00
Closest atoms and distances in Å follow each position.
Positions (direct):
Tm 0.2500 0.0000 0.1346  1 Ge 2.76, 8 Co 2.78-3.00
Tm 0.7500 0.0000 0.8654  1 Ge 2.76, 8 Co 2.78-3.00
Co 0.0000 0.0000 0.5000  2 Ge 2.29, 4 Co 2.55
Co 0.0417 0.5000 0.7814  2 Ge 2.37, 4 Co 2.59-2.63
Co 0.2500 0.5000 0.4537  2 Ge 2.51, 8 Co 2.55-2.63, 2 Tm 2.78
Co 0.4583 0.5000 0.7814  2 Ge 2.37, 4 Co 2.59-2.63
Co 0.5000 0.0000 0.5000  2 Ge 2.29, 4 Co 2.55
Co 0.5417 0.5000 0.2186  2 Ge 2.37, 4 Co 2.59-2.63
Co 0.7500 0.5000 0.5463  2 Ge 2.51, 8 Co 2.55-2.63, 2 Tm 2.78
Co 0.9583 0.5000 0.2186  2 Ge 2.37, 4 Co 2.59-2.63
Ge 0.2500 0.0000 0.7181  8 Co 2.29-2.51
Ge 0.7500 0.0000 0.2819  8 Co 2.29-2.51

- space-group type = No. 51
- Fermi-level density of states (states/eV per atom) = 1.2791
- crystal system = orthorhombic

***

Arrangement ii

The following is a PBE calculation of a relaxed structure of TmCo4Ge, from the Alexandria database.

Lattice parameters (Å, degrees): 4.8781 4.8781 4.8781 60.00 60.00 60.00
Closest atoms and distances in Å follow each position.
Positions (direct):
Tm 0.0000 0.0000 0.0000  12 Co 2.86, 4 Ge 2.99
Co 0.3757 0.3757 0.3757  6 Co 2.43-2.45
Co 0.3757 0.3757 0.8729  6 Co 2.43-2.45
Co 0.3757 0.8729 0.3757  6 Co 2.43-2.45
Co 0.8729 0.3757 0.3757  6 Co 2.43-2.45
Ge 0.7500 0.7500 0.7500  12 Co 2.86, 4 Tm 2.99

- space-group type = No. 216
- Fermi-level density of states (states/eV per atom) = 1.5777
- crystal system = cubic

***

Energies relative to the minimum, meV/atom: arrangement i 41; arrangement ii 0